Entry 1:
Ni2TeHRh | PBE-GGA | relaxed

Cell: 3.946 3.946 3.836 Å, 90.00 90.00 90.00°
Positions (direct):
Ni1 0.000 0.500 0.000
Ni2 0.500 0.000 0.000
Te1 0.000 0.000 0.500
H1 0.500 0.500 0.000
Rh1 0.500 0.500 0.500

Summary:
As for the space group: P4/mmm, No. 123. The value obtained for the density is 9.70 g/cm3. For the raw total energy, the calculation gives -5.06 eV/atom.


Entry 2:
Ho4Er3Tl | PBE-GGA | relaxed

Cell: 11.114 6.972 6.131 Å, 90.00 90.00 90.00°
Positions (direct):
Ho1 0.000 0.127 0.000
Ho2 0.000 0.870 0.470
Ho3 0.239 0.874 0.826
Ho4 0.261 0.126 0.326
Ho5 0.500 0.130 0.970
Ho6 0.500 0.873 0.500
Ho7 0.739 0.126 0.326
Ho8 0.761 0.874 0.826
Er1 0.000 0.369 0.471
Er2 0.243 0.383 0.805
Er3 0.257 0.617 0.305
Er4 0.500 0.631 0.971
Er5 0.743 0.617 0.305
Er6 0.757 0.383 0.805
Tl1 0.000 0.620 0.984
Tl2 0.500 0.380 0.484

Summary:
As for the space group: Pmn2_1, No. 31. The value obtained for the density is 9.55 g/cm3. As for the polymorph energy (0 for the lowest one): 3 meV per atom. The formation energy from the elements is -67 meV/atom.


Entry 3:
TbDyTm14 | PBE-GGA | relaxed

Cell: 10.905 6.831 6.831 Å, 72.43 90.00 90.00°
Positions (direct):
Tb1 0.000 0.000 0.000
Dy1 0.000 0.553 0.553
Tm1 0.000 0.069 0.477
Tm2 0.000 0.477 0.069
Tm3 0.232 0.761 0.761
Tm4 0.251 0.273 0.691
Tm5 0.251 0.691 0.273
Tm6 0.270 0.204 0.204
Tm7 0.500 0.413 0.413
Tm8 0.500 0.489 0.897
Tm9 0.500 0.897 0.489
Tm10 0.500 0.965 0.965
Tm11 0.730 0.204 0.204
Tm12 0.749 0.273 0.691
Tm13 0.749 0.691 0.273
Tm14 0.768 0.761 0.761

Summary:
As for the space group: Amm2, No. 38. The value obtained for the density is 9.20 g/cm3. The formation energy from the elements is 60 meV/atom.


Entry 4:
TaPbCl2 | PBE-GGA | relaxed

Cell: 3.151 4.784 5.746 Å, 90.00 90.00 90.00°
Positions (direct):
Ta1 0.000 0.000 0.000
Pb1 0.500 0.000 0.500
Cl1 0.000 0.500 0.500
Cl2 0.500 0.500 0.000

Summary:
As for the space group: Pmmm, No. 47. The value obtained for the density is 8.80 g/cm3. As for the polymorph energy (0 for the lowest one): 647 meV per atom. The value obtained for the energy relative to the elements, uncorrected is 0.16 eV/atom.


Entry 5:
NdTiOs | PBE-GGA | relaxed

Cell: 4.362 4.362 6.834 Å, 90.00 90.00 90.00°
Positions (direct):
Nd1 0.250 0.250 0.145
Nd2 0.750 0.750 0.855
Ti1 0.250 0.750 0.500
Ti2 0.750 0.250 0.500
Os1 0.250 0.250 0.703
Os2 0.750 0.750 0.297

Summary:
As for the space group: P4/nmm, No. 129. The value obtained for the density is 9.76 g/cm3. The formation energy from the elements is -270 meV/atom.


Entry 6:
Rb2CrC | PBE-GGA | relaxed

Cell: 12.709 12.709 3.883 Å, 90.00 90.00 90.00°
Positions (direct):
Rb1 0.044 0.250 0.125
Rb2 0.250 0.544 0.375
Rb3 0.250 0.956 0.875
Rb4 0.456 0.250 0.625
Rb5 0.544 0.750 0.625
Rb6 0.750 0.044 0.875
Rb7 0.750 0.456 0.375
Rb8 0.956 0.750 0.125
Cr1 0.000 0.000 0.500
Cr2 0.000 0.500 0.750
Cr3 0.500 0.000 0.250
Cr4 0.500 0.500 0.000
C1 0.000 0.000 0.000
C2 0.000 0.500 0.250
C3 0.500 0.000 0.750
C4 0.500 0.500 0.500

Summary:
As for the space group: I-42d, No. 122. The value obtained for the density is 2.49 g/cm3. The formation energy from the elements is 822 meV/atom.